Entry 1:
The following is a DFT calculation (PBE-GGA) of a relaxed structure of RbCa2BeZn.

a = 5.642 Å, b = 5.642 Å, c = 6.382 Å
α = 90.00°, β = 90.00°, γ = 90.00°
Positions (direct):
Rb1 0.000 0.000 0.000
Ca1 0.000 0.500 0.500
Ca2 0.500 0.000 0.500
Be1 0.000 0.000 0.500
Zn1 0.500 0.500 0.000

Energy of formation from the pure elements = 0.54 eV per atom
Density of states at the Fermi level = 4.59 states/eV/f.u.
Space-group type = P4/mmm, No. 123
M_tot = 0.0 μB/cell

Entry 2:
The following is a DFT calculation (PBE-GGA) of a relaxed structure of RbCaZr2Be.

a = 5.124 Å, b = 5.124 Å, c = 5.240 Å
α = 90.00°, β = 90.00°, γ = 90.00°
Positions (direct):
Rb1 0.000 0.000 0.000
Ca1 0.000 0.000 0.500
Zr1 0.000 0.500 0.000
Zr2 0.500 0.000 0.000
Be1 0.500 0.500 0.500

Energy of formation from the pure elements = 2.16 eV per atom
Density of states at the Fermi level = 6.91 states/eV/f.u.
Space-group type = P4/mmm, No. 123
M_tot = 0.0 μB/cell

Entry 3:
The following is a DFT calculation (PBE-GGA) of a relaxed structure of Ca2BeRe.

a = 2.894 Å, b = 4.354 Å, c = 6.504 Å
α = 90.00°, β = 90.00°, γ = 90.00°
Positions (direct):
Ca1 0.000 0.000 0.249
Ca2 0.000 0.000 0.751
Be1 0.500 0.500 0.500
Re1 0.500 0.500 0.000

Energy of formation from the pure elements = 0.85 eV per atom
Density of states at the Fermi level = 3.61 states/eV/f.u.
Space-group type = Pmmm, No. 47
M_tot = 0.0 μB/cell

Entry 4:
The following is a DFT calculation (PBE-GGA) of a relaxed structure of CaBeRe.

a = 5.652 Å, b = 5.652 Å, c = 5.652 Å
α = 147.24°, β = 147.24°, γ = 47.00°
Positions (direct):
Ca1 0.000 0.000 0.000
Be1 0.734 0.734 0.000
Re1 0.285 0.285 0.000

Energy of formation from the pure elements = 0.37 eV per atom
ΔE to the lowest computed polymorph = 0 kJ/mol of formula units
Density of states at the Fermi level = 2.11 states/eV/f.u.
Space-group type = I4mm, No. 107
M_tot = 0.0 μB/cell

Question: The highest density of states at the Fermi level belongs to which entry?
Answer: RbCaZr2Be

Question: What is the formula in the second record?
Answer: RbCaZr2Be

Question: What is the energy of formation from the pure elements in the third record?
Answer: 0.85 eV per atom